<1>
# Pr5HgTe4 PBE-GGA relaxed
data_Pr5HgTe4
_chemical_formula_sum 'Pr10 Hg2 Te8'
_cell_length_a 4.520
_cell_length_b 4.520
_cell_length_c 32.055
_cell_angle_alpha 90.00
_cell_angle_beta 90.00
_cell_angle_gamma 90.00
_space_group_name_H-M_alt 'I 4/m m m'
_space_group_IT_number 139
_space_group_name_Hall '-I 4 2'
loop_
_atom_site_label
_atom_site_type_symbol
_atom_site_fract_x
_atom_site_fract_y
_atom_site_fract_z
Pr1 Pr 0.000 0.000 0.000
Pr2 Pr 0.000 0.000 0.198
Pr3 Pr 0.000 0.000 0.400
Hg1 Hg 0.000 0.000 0.500
Te1 Te 0.000 0.000 0.099
Te2 Te 0.000 0.000 0.300
# - magnetization (μB/f.u.) = 0.000
# - V (Å³/f.u.) = 327.46


<2>
# Pr5HgTe4 PBE-GGA relaxed
data_Pr5HgTe4
_chemical_formula_sum 'Pr10 Hg2 Te8'
_cell_length_a 10.111
_cell_length_b 10.111
_cell_length_c 6.404
_cell_angle_alpha 90.00
_cell_angle_beta 90.00
_cell_angle_gamma 90.00
_space_group_name_H-M_alt 'I 4/m'
_space_group_IT_number 87
_space_group_name_Hall '-I 4'
loop_
_atom_site_label
_atom_site_type_symbol
_atom_site_fract_x
_atom_site_fract_y
_atom_site_fract_z
Pr1 Pr 0.000 0.000 0.000
Pr2 Pr 0.100 0.704 0.500
Hg1 Hg 0.000 0.000 0.500
Te1 Te 0.097 0.698 0.000
# - magnetization (μB/f.u.) = 0.000
# - V (Å³/f.u.) = 327.34


Which is less stable than every other structure shown? <1> is.